K3V2PbO8: optimized geometry, PBE+U.

**Volume**: 246 Å³ per cell
**D(E_F)**: 4.39 states/eV/cell
**VASP energy**: -86.51 eV/cell

Structure (POSCAR):
```
K3V2PbO8
1.0
6.054 0.000 0.000
-3.027 5.243 0.000
0.000 0.000 7.743
K V Pb O
3 2 1 8
Direct
0.000 0.000 0.000
0.333 0.667 0.688
0.667 0.333 0.312
0.333 0.667 0.237
0.667 0.333 0.763
0.000 0.000 0.500
0.174 0.349 0.313
0.174 0.826 0.313
0.333 0.667 0.020
0.349 0.174 0.687
0.651 0.826 0.313
0.667 0.333 0.980
0.826 0.174 0.687
0.826 0.651 0.687
```